Computed, not measured: a geometry-optimized HoGe2Pd structure at the GGA-PBE level of DFT.

```
HoGe2Pd
1.0
-2.0260 -1.3436 -3.3763
-1.6058 -3.2205 2.2452
-3.3385 2.3965 1.0497
Ge Ho Pd
2 1 1
Direct
0.0000 0.0000 0.5000 Ge
0.0000 0.5000 0.0000 Ge
0.5000 0.5000 0.5000 Ho
0.5000 0.0000 0.0000 Pd
```

Output
Total moment: 0.0 μB/f.u.
Space-group type: P4/mmm (123)
Mass density: 9.2 Mg/m³
Formation energy: -0.589 eV per atom
D(E_F): 0.70 states/eV per atom

Computed, not measured: a geometry-optimized CePm3Au4 structure at the GGA-PBE level of DFT.

```
CePm3Au4
1.0
-3.0253 3.2389 4.6202
-3.8039 -4.6673 -2.1761
5.3781 -2.5536 2.3545
Au Ce Pm
4 1 3
Direct
0.0000 0.0000 0.4999 Au
0.5001 0.5001 0.5001 Au
0.4999 0.0000 0.0000 Au
0.0000 0.4999 0.0000 Au
0.0000 0.0000 0.0000 Ce
0.0000 0.5000 0.5000 Pm
0.5000 0.0000 0.5000 Pm
0.5000 0.5000 0.0000 Pm
```

Output
Total moment: 0.8 μB/f.u.
Space-group type: Im-3m (229)
Mass density: 11.2 Mg/m³
Formation energy: -0.731 eV per atom
D(E_F): 1.55 states/eV per atom

Computed, not measured: a geometry-optimized LiUSn2S5 structure at the GGA-PBE level of DFT.

```
LiUSn2S5
1.0
-2.8694 1.4461 -2.3595
-4.0234 -6.7589 4.1180
-3.8266 8.1606 9.6553
Li U Sn S
2 2 4 10
Direct
0.5574 0.1149 0.9547 Li
0.4426 0.8851 0.4547 Li
0.7829 0.5658 0.5307 U
0.2171 0.4342 0.0307 U
0.9061 0.8121 0.7731 Sn
0.1012 0.2024 0.6430 Sn
0.0939 0.1879 0.2731 Sn
0.8988 0.7976 0.1430 Sn
0.3682 0.7365 0.0084 S
0.7001 0.4002 0.9058 S
0.5065 0.0130 0.7810 S
0.2617 0.5233 0.6620 S
0.9315 0.8629 0.5652 S
0.6318 0.2635 0.5084 S
0.2999 0.5998 0.4058 S
0.4935 0.9870 0.2810 S
0.7383 0.4767 0.1620 S
0.0685 0.1371 0.0652 S
```

Output
Total moment: 1.0 μB/f.u.
Formation energy (no corrections): -0.8925 eV per atom
Space-group type: Cmc2_1 (36)
Mass density: 4.7 Mg/m³
D(E_F): 0.52 states/eV per atom